Entry 1:
A relaxed Dy2Er6Se3 crystal. Source: Alexandria via LeMat-Bulk, functional GGA-PBE.

abc: 25.1278 25.1278 25.1278
angles: 8.57 8.57 8.57
With the nearest neighbours (Å) after each atom.
Sites, in units of the cell vectors:
Dy (0.0559, 0.0559, 0.0559)  6 Er 3.53-3.56, 6 Dy 3.75
Dy (0.9441, 0.9441, 0.9441)  6 Er 3.53-3.56, 6 Dy 3.75
Er (0.1423, 0.1423, 0.1423)  6 Se 2.82-2.84
Er (0.3150, 0.3150, 0.3150)  9 Er 3.50-3.75, 3 Dy 3.56
Er (0.4263, 0.4263, 0.4263)  3 Se 2.89
Er (0.5737, 0.5737, 0.5737)  3 Se 2.89
Er (0.6850, 0.6850, 0.6850)  9 Er 3.50-3.75, 3 Dy 3.56
Er (0.8577, 0.8577, 0.8577)  6 Se 2.82-2.84
Se (0.2149, 0.2149, 0.2149)  6 Er 2.82-2.89
Se (0.5000, 0.5000, 0.5000)  6 Er 2.84
Se (0.7851, 0.7851, 0.7851)  6 Er 2.82-2.89

Properties
Total moment = 0.0 μB per formula unit
Crystal system = trigonal
Calculated density = 8.504 g/cm3
Space-group type = R-3m (166)
E_form (uncorrected) = -0.862 eV/atom

=====

Entry 2:
A relaxed La2Tl2Hg crystal. Source: Alexandria via LeMat-Bulk, functional GGA-PBE.

abc: 9.2023 9.2023 3.8951
angles: 90.00 90.00 90.00
With the nearest neighbours (Å) after each atom.
Sites, in units of the cell vectors:
La (0.1785, 0.3215, 0.0000)  6 Tl 3.26-3.42, 2 Hg 3.38
La (0.3215, 0.8215, 0.0000)  6 Tl 3.26-3.42, 2 Hg 3.38
La (0.6785, 0.1785, 0.0000)  6 Tl 3.26-3.42, 2 Hg 3.38
La (0.8215, 0.6785, 0.0000)  6 Tl 3.26-3.42, 2 Hg 3.38
Tl (0.1210, 0.6210, 0.5000)  1 Tl 3.15, 6 La 3.26-3.42
Tl (0.3790, 0.1210, 0.5000)  1 Tl 3.15, 6 La 3.26-3.42
Tl (0.6210, 0.8790, 0.5000)  1 Tl 3.15, 6 La 3.26-3.42
Tl (0.8790, 0.3790, 0.5000)  1 Tl 3.15, 6 La 3.26-3.42
Hg (0.0000, 0.0000, 0.0000)  4 La 3.38
Hg (0.5000, 0.5000, 0.0000)  4 La 3.38

Properties
Energy of formation from the pure elements = -0.27 eV per atom
Total moment = 0.0 μB per formula unit
Crystal system = tetragonal
Calculated density = 8.933 g/cm3
Space-group type = P4/mbm (127)

=====

Entry 3:
A relaxed CsCoAs crystal. Source: Alexandria via LeMat-Bulk, functional GGA-PBE.

abc: 7.0262 7.0262 6.8039
angles: 110.80 110.80 33.04
With the nearest neighbours (Å) after each atom.
Sites, in units of the cell vectors:
Cs (0.0000, 0.0000, 0.0000)  2 As 3.46, 4 Co 3.55-3.86
Cs (0.5556, 0.5556, 0.5405)  2 As 3.45, 3 Co 3.54-3.86
Co (0.2763, 0.2763, 0.0859)  3 As 2.18-2.34
Co (0.2791, 0.2791, 0.4478)  3 As 2.18-2.34
As (0.2779, 0.2779, 0.7670)  2 Co 2.18
As (0.7776, 0.7776, 0.2668)  4 Co 2.34

Properties
Energy of formation from the pure elements = -0.02 eV per atom
Total moment = 0.0 μB per formula unit
Crystal system = monoclinic
Calculated density = 5.208 g/cm3
Space-group type = Cm (8)

=====

Entry 4:
A relaxed Os2Ru2Rh crystal. Source: Alexandria via LeMat-Bulk, functional GGA-PBE.

abc: 6.3462 6.3462 6.3462
angles: 145.78 145.78 49.18
With the nearest neighbours (Å) after each atom.
Sites, in units of the cell vectors:
Os (0.1021, 0.1021, 0.0000)  1 Os 2.36, 4 Ru 2.53
Os (0.8979, 0.8979, 0.0000)  1 Os 2.36, 4 Ru 2.53
Ru (0.2500, 0.7500, 0.5000)  4 Os 2.53, 4 Ru 2.64
Ru (0.7500, 0.2500, 0.5000)  4 Os 2.53, 4 Ru 2.64
Rh (0.5000, 0.5000, 0.0000)  8 Os 2.89

Properties
Energy of formation from the pure elements = 0.68 eV per atom
Total moment = 0.0 μB per formula unit
Crystal system = tetragonal
Calculated density = 14.144 g/cm3
Space-group type = I4/mmm (139)

=====

What is the formula in the third record?
CsCoAs